# CsVPO5 meta-GGA SCAN PBEsol geometry
# formation energy (no corrections) = -2606 meV/atom
# final energy = -14.713 eV per atom
data_CsVPO5
_chemical_formula_sum 'Cs4 V4 P4 O20'
_symmetry_space_group_name_H-M 'P 21 21 21'
_symmetry_Int_Tables_number 19
_cell_length_a 7.334
_cell_length_b 7.682
_cell_length_c 9.711
_cell_angle_alpha 90.00
_cell_angle_beta 90.00
_cell_angle_gamma 90.00
loop_
_symmetry_equiv_pos_as_xyz
'x,y,z'
'-x+1/2,-y,z+1/2'
'x+1/2,-y+1/2,-z'
'-x,y+1/2,-z+1/2'
loop_
_atom_site_label
_atom_site_type_symbol
_atom_site_fract_x
_atom_site_fract_y
_atom_site_fract_z
Cs1 Cs 0.130 0.136 0.339
V1 V 0.111 0.569 0.538
P1 P 0.157 0.363 0.843
O1 O 0.016 0.750 0.659
O2 O 0.054 0.958 0.029
O3 O 0.156 0.507 0.957
O4 O 0.171 0.742 0.392
O5 O 0.190 0.441 0.700



# CsVZnP6O18 meta-GGA SCAN PBEsol geometry
# formation energy (no corrections) = -2418 meV/atom
# final energy = -11.432 eV per atom
data_CsVZnP6O18
_chemical_formula_sum 'Cs1 V1 Zn1 P6 O18'
_symmetry_space_group_name_H-M 'P 1'
_symmetry_Int_Tables_number 1
_cell_length_a 6.338
_cell_length_b 8.438
_cell_length_c 8.443
_cell_angle_alpha 104.36
_cell_angle_beta 104.25
_cell_angle_gamma 103.27
loop_
_symmetry_equiv_pos_as_xyz
'x,y,z'
loop_
_atom_site_label
_atom_site_type_symbol
_atom_site_fract_x
_atom_site_fract_y
_atom_site_fract_z
Cs1 Cs 0.000 0.000 0.000
V1 V 0.448 0.274 0.822
Zn1 Zn 0.444 0.827 0.262
P1 P 0.337 0.641 0.852
P2 P 0.347 0.869 0.631
P3 P 0.537 0.233 0.448
P4 P 0.543 0.460 0.226
P5 P 0.942 0.332 0.752
P6 P 0.942 0.767 0.319
O1 O 0.069 0.531 0.792
O2 O 0.082 0.819 0.522
O3 O 0.099 0.773 0.214
O4 O 0.113 0.235 0.778
O5 O 0.350 0.701 0.688
O6 O 0.385 0.796 0.001
O7 O 0.387 0.567 0.211
O8 O 0.393 0.021 0.788
O9 O 0.404 0.236 0.573
O10 O 0.462 0.081 0.290
O11 O 0.483 0.524 0.863
O12 O 0.496 0.304 0.072
O13 O 0.503 0.883 0.526
O14 O 0.539 0.401 0.392
O15 O 0.780 0.314 0.854
O16 O 0.783 0.872 0.300
O17 O 0.805 0.272 0.551
O18 O 0.807 0.568 0.282



# CsYP4O12 meta-GGA SCAN PBEsol geometry
# formation energy (no corrections) = -2747 meV/atom
# final energy = -12.859 eV per atom
data_CsYP4O12
_chemical_formula_sum 'Cs4 Y4 P16 O48'
_symmetry_space_group_name_H-M 'P 1 21/c 1'
_symmetry_Int_Tables_number 14
_cell_length_a 10.279
_cell_length_b 8.879
_cell_length_c 12.831
_cell_angle_alpha 90.00
_cell_angle_beta 123.58
_cell_angle_gamma 90.00
loop_
_symmetry_equiv_pos_as_xyz
'x,y,z'
'-x,-y,-z'
'-x,y+1/2,-z+1/2'
'x,-y+1/2,z+1/2'
loop_
_atom_site_label
_atom_site_type_symbol
_atom_site_fract_x
_atom_site_fract_y
_atom_site_fract_z
Cs1 Cs 0.222 0.064 0.041
Y1 Y 0.315 0.726 0.818
P1 P 0.030 0.027 0.286
P2 P 0.200 0.610 0.027
P3 P 0.330 0.172 0.370
P4 P 0.391 0.091 0.743
O1 O 0.040 0.546 0.906
O2 O 0.078 0.584 0.725
O3 O 0.128 0.596 0.295
O4 O 0.159 0.159 0.349
O5 O 0.164 0.713 0.100
O6 O 0.270 0.048 0.599
O7 O 0.283 0.208 0.759
O8 O 0.297 0.670 0.982
O9 O 0.373 0.028 0.337
O10 O 0.424 0.544 0.324
O11 O 0.434 0.244 0.495
O12 O 0.475 0.676 0.743